Run P
8
Lattice="-1.594 1.611 -3.138 0.199 -3.398 -1.844 -6.805 -1.779 2.542" Properties=species:S:1:pos:R:3 comment="PBE CdIrNO, relaxed" total_magnetization_mub_per_fu=0.01 sg=P4/nmm mass_density_g_cm3=9.92 pbc="T T T"
Ir -4.548 -0.531 -1.544
Ir -3.652 -3.035 -0.896
N -3.676 -2.028 -2.754
N -4.523 -1.538 0.314
O -0.249 -2.145 -2.168
O -1.145 0.359 -2.815
Cd -1.281 -0.690 -0.897
Cd -6.919 -2.875 -1.543

---

Run Q
16
Lattice="-2.529 2.769 3.607 -6.943 -2.014 -3.322 -0.234 -4.058 2.951" Properties=species:S:1:pos:R:3 comment="PBE CdIrNO, relaxed" total_magnetization_mub_per_fu=0.00 sg=Pca2_1 mass_density_g_cm3=10.69 pbc="T T T"
Cd -3.996 0.706 0.670
Cd -4.388 -1.159 -1.927
Cd -5.202 -0.130 3.699
Cd -5.595 -1.995 1.102
Ir -0.566 -0.090 -0.075
Ir -7.817 -0.442 -1.135
Ir -1.777 -0.921 2.961
Ir -9.028 -1.273 1.901
N -7.664 -2.615 1.224
N -8.248 0.182 0.749
N -1.989 0.246 1.334
N -1.405 -2.551 1.809
O -4.821 1.763 2.508
O -3.852 -1.455 2.435
O -4.795 -3.480 -0.425
O -5.763 -0.262 -0.351

---

Most stable of them? run Q.

---

Run P
4
Lattice="0.000 3.296 3.296 3.296 0.000 3.296 3.296 3.296 0.000" Properties=species:S:1:pos:R:3 comment="PBE HfFeCuBi, relaxed" total_magnetization_mub_per_fu=2.00 sg=F-43m mass_density_g_cm3=11.76 pbc="T T T"
Fe 3.296 3.296 3.296
Bi 1.648 1.648 1.648
Cu 4.943 4.943 4.943
Hf 0.000 0.000 0.000

---

Run Q
4
Lattice="-1.541 0.638 4.246 -3.243 -2.731 1.683 1.023 -3.007 3.273" Properties=species:S:1:pos:R:3 comment="PBE HfFeCuBi, relaxed" total_magnetization_mub_per_fu=0.00 sg=F-43m mass_density_g_cm3=12.54 pbc="T T T"
Hf 0.000 0.000 0.000
Fe -0.940 -1.275 2.301
Cu -2.821 -3.825 6.902
Bi -1.881 -2.550 4.601

---

Most stable of them? run Q.

---

Run P
9
Lattice="-1.393 1.701 13.252 1.393 -1.701 13.252 1.393 1.701 -13.252" Properties=species:S:1:pos:R:3 comment="PBE Cu2Ag, relaxed" sg=Immm mass_density_g_cm3=9.32 pbc="T T T"
Ag 0.000 0.000 1.865
Ag 0.000 0.000 13.252
Ag 0.000 0.000 24.640
Cu 0.000 0.000 21.812
Cu 0.000 0.000 16.688
Cu 0.000 0.000 4.693
Cu 0.000 0.000 7.267
Cu 0.000 0.000 19.238
Cu 0.000 0.000 9.816

---

Run Q
6
Lattice="-3.473 1.088 2.846 -0.665 -2.655 0.204 4.290 -0.692 4.974" Properties=species:S:1:pos:R:3 comment="PBE Cu2Ag, relaxed" sg=P2/m mass_density_g_cm3=9.33 pbc="T T T"
Cu 0.409 0.198 3.910
Cu -2.028 0.761 3.301
Cu 2.846 -0.365 4.519
Cu 1.813 -1.674 2.589
Ag -0.722 -1.100 1.791
Ag 0.875 -1.159 6.233

---

Most stable of them? run P.

---

Run P
10
Lattice="11.907 16.067 9.791 14.216 14.585 8.998 13.077 16.511 7.224" Properties=species:S:1:pos:R:3 comment="PBE Cu2Ag3, relaxed" sg=R3m mass_density_g_cm3=9.55 pbc="T T T"
Ag 27.286 32.829 18.107
Ag 8.002 9.628 5.310
Ag 19.632 23.620 13.028
Ag 31.261 37.612 20.745
Ag 23.601 28.396 15.662
Ag 15.660 18.841 10.392
Cu 3.861 4.645 2.562
Cu 35.399 42.590 23.491
Cu 39.072 47.009 25.928
Cu 11.826 14.228 7.848

---

Run Q
10
Lattice="3.970 0.000 0.000 0.000 2.009 9.755 0.000 -2.009 9.755" Properties=species:S:1:pos:R:3 comment="PBE Cu2Ag3, relaxed" sg=Amm2 mass_density_g_cm3=9.62 pbc="T T T"
Cu 0.000 0.000 11.551
Cu 0.000 0.000 7.921
Cu 1.985 0.000 17.683
Cu 0.000 0.000 19.378
Ag 1.985 0.000 9.654
Ag 0.000 0.000 3.857
Ag 1.985 0.000 6.044
Ag 1.985 0.000 1.806
Ag 1.985 0.000 13.603
Ag 0.000 0.000 15.804

---

Run R
10
Lattice="6.936 0.000 0.000 0.000 2.853 0.000 -1.529 0.000 7.853" Properties=species:S:1:pos:R:3 comment="PBE Cu2Ag3, relaxed" sg=Pm mass_density_g_cm3=9.63 pbc="T T T"
Ag 0.360 1.426 4.776
Ag 0.481 0.000 7.304
Ag 5.059 1.426 3.121
Ag 2.716 0.000 3.889
Ag 2.855 1.426 6.384
Ag 0.457 0.000 2.062
Cu 5.083 0.000 5.566
Cu 4.773 0.000 0.809
Cu 5.154 1.426 7.704
Cu 2.799 1.426 1.577

---

Run S
10
Lattice="2.868 0.000 0.000 0.000 2.868 0.000 0.000 0.000 18.837" Properties=species:S:1:pos:R:3 comment="PBE Cu2Ag3, relaxed" sg=P4/nmm mass_density_g_cm3=9.66 pbc="T T T"
Cu 0.000 1.434 8.680
Cu 1.434 0.000 13.834
Cu 0.000 1.434 5.004
Cu 1.434 0.000 10.157
Ag 0.000 1.434 15.646
Ag 1.434 0.000 17.778
Ag 1.434 0.000 6.836
Ag 1.434 0.000 3.191
Ag 0.000 1.434 1.059
Ag 0.000 1.434 12.001

---

Most stable of them? run S.

---

Run P
10
Lattice="6.128 8.059 0.474 -7.896 -5.630 -2.946 -2.193 1.489 3.032" Properties=species:S:1:pos:R:3 comment="PBE Cu2Ag3, relaxed" sg=Cmcm mass_density_g_cm3=9.60 pbc="T T T"
Ag -4.951 -1.848 -1.336
Ag -7.502 -2.523 -0.175
Ag -7.767 -4.597 -2.023
Ag 0.990 5.767 1.896
Ag 3.541 6.441 0.735
Ag 3.806 8.515 2.583
Cu -1.842 3.002 1.205
Cu -4.575 0.334 0.539
Cu -2.119 0.916 -0.646
Cu 0.613 3.584 0.021

---

Run Q
10
Lattice="-2.630 1.008 0.328 0.294 -0.455 3.757 5.265 13.345 1.205" Properties=species:S:1:pos:R:3 comment="PBE Cu2Ag3, relaxed" sg=Pmmn mass_density_g_cm3=9.66 pbc="T T T"
Ag 2.340 5.931 0.536
Ag 3.806 12.884 3.181
Ag 0.589 4.730 2.445
Ag 3.508 8.891 0.803
Ag 1.757 7.691 2.712
Ag 0.291 0.738 0.067
Cu 2.845 10.449 2.961
Cu 1.252 3.173 0.287
Cu -0.372 2.294 2.225
Cu 4.469 11.328 1.023

---

Run R
10
Lattice="4.736 5.154 -2.415 -6.489 -3.150 -1.671 -1.581 2.484 3.880" Properties=species:S:1:pos:R:3 comment="PBE Cu2Ag3, relaxed" sg=C2 mass_density_g_cm3=9.59 pbc="T T T"
Cu 2.777 5.531 -0.397
Cu 4.708 5.133 -2.413
Cu 0.681 3.981 -0.259
Cu -3.930 0.570 0.047
Ag -1.717 2.207 -0.100
Ag -6.175 -1.091 0.196
Ag -1.998 0.172 -1.969
Ag -4.247 -1.491 -1.820
Ag 2.536 3.526 -2.269
Ag 0.262 1.844 -2.119

---

Most stable of them? run Q.

---

Run P
10
Lattice="2.447 -6.948 0.000 2.447 6.948 0.000 -1.701 0.000 4.592" Properties=species:S:1:pos:R:3 comment="PBE Cu2Ag3, relaxed" sg=C2/m mass_density_g_cm3=9.59 pbc="T T T"
Cu 2.447 -2.747 0.000
Cu 1.596 -1.364 2.296
Cu 2.447 2.747 0.000
Cu 1.596 1.364 2.296
Ag -0.851 0.000 2.296
Ag 1.596 -4.098 2.296
Ag 2.447 5.454 0.000
Ag 2.447 0.000 0.000
Ag 1.596 4.098 2.296
Ag 2.447 -5.454 0.000

---

Run Q
10
Lattice="-3.138 2.171 -3.038 -2.377 -4.865 1.700 -1.008 3.807 4.733" Properties=species:S:1:pos:R:3 comment="PBE Cu2Ag3, relaxed" sg=P-1 mass_density_g_cm3=9.62 pbc="T T T"
Cu -2.222 -0.197 -1.069
Cu -4.909 2.387 2.088
Cu -4.301 1.310 4.463
Cu -1.614 -1.275 1.306
Ag -2.419 1.272 2.571
Ag -3.711 4.739 1.270
Ag -3.514 -1.146 3.477
Ag -4.104 -0.160 0.824
Ag -3.009 2.259 -0.083
Ag -2.812 -3.626 2.124

---

Most stable of them? run Q.

---

Run P
10
Lattice="6.933 0.000 0.000 0.000 2.856 0.000 -1.416 0.000 7.868" Properties=species:S:1:pos:R:3 comment="PBE Cu2Ag3, relaxed" sg=P2/m mass_density_g_cm3=9.61 pbc="T T T"
Ag 0.000 1.428 0.000
Ag 0.503 1.428 4.961
Ag 2.759 0.000 3.934
Ag 0.474 0.000 2.374
Ag 5.043 0.000 5.494
Ag 5.014 1.428 2.907
Cu 0.900 0.000 7.253
Cu 2.644 1.428 1.450
Cu 4.617 0.000 0.615
Cu 2.873 1.428 6.419

---

Run Q
10
Lattice="4.437 -1.978 0.000 4.437 1.978 0.000 -0.001 0.000 8.847" Properties=species:S:1:pos:R:3 comment="PBE Cu2Ag3, relaxed" sg=Cm mass_density_g_cm3=9.64 pbc="T T T"
Cu 4.407 0.000 4.501
Cu 2.694 0.000 7.924
Cu 8.855 0.000 8.722
Cu 7.963 0.000 6.282
Ag 6.254 0.000 0.768
Ag 7.128 0.000 3.639
Ag 3.591 0.000 1.684
Ag 1.784 0.000 5.397
Ag 5.236 0.000 7.072
Ag 0.887 0.000 2.670

---

Most stable of them? run P.

---

Run P
10
Lattice="9.571 -1.438 0.000 9.571 1.438 0.000 -0.870 0.000 5.663" Properties=species:S:1:pos:R:3 comment="PBE Cu2Ag3, relaxed" sg=C2/m mass_density_g_cm3=9.60 pbc="T T T"
Ag 17.257 0.000 1.156
Ag 5.072 0.000 5.075
Ag 5.527 0.000 2.329
Ag 13.199 0.000 0.588
Ag 1.014 0.000 4.507
Ag 12.744 0.000 3.334
Cu 9.136 0.000 2.832
Cu 9.571 0.000 0.000
Cu 1.383 0.000 1.656
Cu 16.888 0.000 4.007

---

Run Q
10
Lattice="-1.407 4.613 0.244 -0.476 -0.293 2.792 11.041 2.103 2.104" Properties=species:S:1:pos:R:3 comment="PBE Cu2Ag3, relaxed" sg=P2/m mass_density_g_cm3=9.57 pbc="T T T"
Ag 8.358 5.402 3.444
Ag 6.797 3.069 2.933
Ag 9.516 3.265 1.966
Ag 0.800 1.020 1.695
Ag 2.360 3.354 2.206
Ag 0.118 3.450 0.382
Cu 5.282 0.905 2.448
Cu 6.226 5.514 1.641
Cu 4.817 3.358 1.174
Cu 3.408 1.202 0.707

---

Most stable of them? run P.

---

Run P
4
Lattice="0.000 2.837 2.837 2.837 0.000 2.837 2.837 2.837 0.000" Properties=species:S:1:pos:R:3 comment="PBE LiAlFeNi, relaxed" total_magnetization_mub_per_fu=2.63 sg=F-43m mass_density_g_cm3=5.40 pbc="T T T"
Al 0.000 0.000 0.000
Ni 2.837 2.837 2.837
Li 1.418 1.418 1.418
Fe 4.255 4.255 4.255

---

Run Q
4
Lattice="-2.097 -0.444 3.448 -3.887 1.160 0.176 -2.941 -2.788 0.242" Properties=species:S:1:pos:R:3 comment="PBE LiAlFeNi, relaxed" total_magnetization_mub_per_fu=3.35 sg=F-43m mass_density_g_cm3=5.21 pbc="T T T"
Ni -6.693 -1.554 2.899
Li -2.231 -0.518 0.966
Fe -4.462 -1.036 1.933
Al 0.000 0.000 0.000

---

Most stable of them? run Q.

---

Run P
8
Lattice="3.955 0.000 0.000 0.000 5.790 0.000 0.000 0.000 6.817" Properties=species:S:1:pos:R:3 comment="PBE PmSmNO, relaxed" total_magnetization_mub_per_fu=0.04 sg=Pmc2_1 mass_density_g_cm3=6.92 pbc="T T T"
Sm 0.000 5.720 4.571
Sm 0.000 2.825 2.246
O 1.977 5.139 5.579
O 1.977 2.244 1.238
Pm 1.977 5.698 1.115
Pm 1.977 2.803 5.702
N 0.000 2.284 4.490
N 0.000 5.179 2.327

---

Run Q
8
Lattice="4.290 0.000 0.000 0.000 4.290 0.000 0.000 0.000 8.334" Properties=species:S:1:pos:R:3 comment="PBE PmSmNO, relaxed" total_magnetization_mub_per_fu=0.77 sg=P4/nmm mass_density_g_cm3=7.04 pbc="T T T"
Sm 3.217 1.073 4.167
Sm 1.073 3.217 4.167
N 3.217 3.217 3.058
N 1.073 1.073 5.276
O 3.217 1.073 0.000
O 1.073 3.217 0.000
Pm 1.073 1.073 0.960
Pm 3.217 3.217 7.375

---

Most stable of them? run P.